No. 1
# AlV3H

An optimized crystal structure of AlV3H (PBE-GGA, Alexandria via LeMat-Bulk).

Calculated values
For the magnetic moment, the calculation gives 0.00 μB per cell. The value obtained for the uncorrected energy is -70.6 eV per cell. As for the volume: 116.2 Å³/cell.

Cell lengths 5.3232, 4.2942, 5.3728 Å; angles 90.00, 108.90, 90.00 degrees
Space group P2_1 (No. 4)
Unique sites:
Al1 0.1414 0.0000 0.1365 [2 per cell]
V1 0.1320 0.0016 0.6312 [2 per cell]
V2 0.3777 0.4899 0.8993 [2 per cell]
V3 0.3979 0.4970 0.3877 [2 per cell]
H1 0.1880 0.6043 0.5747 [2 per cell]

No. 2
# Al2VH

An optimized crystal structure of Al2VH (PBE-GGA, Alexandria via LeMat-Bulk).

Calculated values
For the magnetic moment, the calculation gives 8.36 μB per cell. The energy above the lowest structure with this stoichiometry comes out at 77.7 kJ/mol of atoms. As for the volume: 222.0 Å³/cell.

Cell lengths 6.0549, 6.0549, 6.0549 Å; angles 90.00, 90.00, 90.00 degrees
Space group Fm-3m (No. 225)
Unique sites:
Al1 0.2500 0.2500 0.2500 [8 per cell]
V1 0.0000 0.0000 0.0000 [4 per cell]
H1 0.0000 0.0000 0.5000 [4 per cell]

No. 3
# AlV3H

An optimized crystal structure of AlV3H (PBE-GGA, Alexandria via LeMat-Bulk).

Calculated values
For the magnetic moment, the calculation gives 0.00 μB per cell. The value obtained for the uncorrected energy is -70.7 eV per cell. As for the volume: 116.6 Å³/cell.

Cell lengths 5.0820, 5.0933, 5.1247 Å; angles 95.89, 95.67, 116.39 degrees
Space group P1 (No. 1)
Unique sites:
Al1 0.0000 0.0000 0.0000 [1 per cell]
Al2 0.2635 0.2673 0.5160 [1 per cell]
V1 0.1131 0.6177 0.2574 [1 per cell]
V2 0.3778 0.8664 0.7505 [1 per cell]
V3 0.5143 0.4931 0.0191 [1 per cell]
V4 0.6374 0.1463 0.2519 [1 per cell]
V5 0.7662 0.7417 0.4914 [1 per cell]
V6 0.8697 0.4014 0.7601 [1 per cell]
H1 0.4098 0.7811 0.0722 [1 per cell]
H2 0.6720 0.0366 0.5686 [1 per cell]

No. 4
# Al3V5H2

An optimized crystal structure of Al3V5H2 (PBE-GGA, Alexandria via LeMat-Bulk).

Calculated values
For the magnetic moment, the calculation gives 0.00 μB per cell. The value obtained for the uncorrected energy is -259.9 eV per cell. As for the volume: 472.9 Å³/cell.

Cell lengths 6.3092, 12.0800, 6.2054 Å; angles 90.00, 90.00, 90.00 degrees
Space group Ibam (No. 72)
Unique sites:
Al1 0.0000 0.0000 0.2500 [4 per cell]
Al2 0.2242 0.3754 0.0000 [8 per cell]
V1 0.0000 0.2467 0.2500 [8 per cell]
V2 0.0000 0.5000 0.2500 [4 per cell]
V3 0.2230 0.3717 0.5000 [8 per cell]
H1 0.0140 0.1744 0.0000 [8 per cell]

No. 5
# AlV2H2

An optimized crystal structure of AlV2H2 (PBE-GGA, Alexandria via LeMat-Bulk).

Calculated values
For the magnetic moment, the calculation gives 0.00 μB per cell. The energy above the lowest structure with this stoichiometry comes out at 1.7 kJ/mol of atoms. As for the volume: 377.7 Å³/cell.

Cell lengths 4.9775, 8.1324, 9.3307 Å; angles 90.00, 90.00, 90.00 degrees
Space group Fddd (No. 70, origin choice 2)
Unique sites:
Al1 0.1250 0.1250 0.1250 [8 per cell]
V1 0.1250 0.2840 0.6250 [16 per cell]
H1 0.1250 0.1250 0.4922 [16 per cell]

No. 6
# AlV6H

An optimized crystal structure of AlV6H (PBE-GGA, Alexandria via LeMat-Bulk).

Calculated values
For the magnetic moment, the calculation gives 0.00 μB per cell. The value obtained for the uncorrected energy is -62.4 eV per cell. As for the volume: 98.8 Å³/cell.

Cell lengths 4.3708, 4.9393, 4.9766 Å; angles 96.11, 112.07, 91.07 degrees
Space group P-1 (No. 2)
Unique sites:
Al1 0.0000 0.0000 0.0000 [1 per cell]
V1 0.1099 0.5680 0.2771 [2 per cell]
V2 0.2906 0.1451 0.5849 [2 per cell]
V3 0.4324 0.7023 0.8559 [2 per cell]
H1 0.5000 0.5000 0.5000 [1 per cell]

No. 7
# AlV3H

An optimized crystal structure of AlV3H (PBE-GGA, Alexandria via LeMat-Bulk).

Calculated values
For the magnetic moment, the calculation gives 0.00 μB per cell. The value obtained for the uncorrected energy is -70.5 eV per cell. As for the volume: 116.2 Å³/cell.

Cell lengths 4.3022, 5.1396, 5.3681 Å; angles 101.73, 90.24, 90.22 degrees
Space group P1 (No. 1)
Unique sites:
Al1 0.0000 0.0000 0.0000 [1 per cell]
Al2 0.0006 0.5031 0.7278 [1 per cell]
V1 0.0071 0.5033 0.2282 [1 per cell]
V2 0.4970 0.2380 0.3616 [1 per cell]
V3 0.4994 0.2475 0.8571 [1 per cell]
V4 0.5012 0.7717 0.6271 [1 per cell]
V5 0.5058 0.7308 0.0916 [1 per cell]
V6 0.9773 0.0019 0.4980 [1 per cell]
H1 0.2566 0.7801 0.3561 [1 per cell]
H2 0.6244 0.5587 0.3337 [1 per cell]

No. 8
# AlV3H

An optimized crystal structure of AlV3H (PBE-GGA, Alexandria via LeMat-Bulk).

Calculated values
For the magnetic moment, the calculation gives 0.00 μB per cell. The value obtained for the uncorrected energy is -139.0 eV per cell. As for the volume: 235.5 Å³/cell.

Cell lengths 6.9413, 4.9742, 8.7678 Å; angles 90.00, 128.93, 90.00 degrees
Space group P2_1/c (No. 14)
Unique sites:
Al1 0.1686 0.2503 0.0841 [4 per cell]
V1 0.0003 0.9997 0.2501 [4 per cell]
V2 0.3283 0.7503 0.1688 [4 per cell]
V3 0.4433 0.2500 0.4692 [4 per cell]
H1 0.2315 0.7493 0.4229 [4 per cell]

No. 9
# AlV3H3

An optimized crystal structure of AlV3H3 (PBE-GGA, Alexandria via LeMat-Bulk).

Calculated values
For the magnetic moment, the calculation gives 0.00 μB per cell. The energy above the lowest structure with this stoichiometry comes out at 31.1 kJ/mol of atoms. As for the volume: 458.7 Å³/cell.

Cell lengths 5.4458, 5.4458, 17.8596 Å; angles 90.00, 90.00, 120.00 degrees
Space group R-3 (No. 148, hexagonal axes)
Unique sites:
Al1 0.0000 0.0000 0.1669 [6 per cell]
V1 0.0002 0.3757 0.3811 [18 per cell]
H1 0.0007 0.2924 0.6141 [18 per cell]

No. 10
# AlV2H2

An optimized crystal structure of AlV2H2 (PBE-GGA, Alexandria via LeMat-Bulk).

Calculated values
For the magnetic moment, the calculation gives 0.01 μB per cell. The energy above the lowest structure with this stoichiometry comes out at 0.0 kJ/mol of atoms. As for the volume: 93.9 Å³/cell.

Cell lengths 3.2921, 3.2921, 8.6603 Å; angles 90.00, 90.00, 90.00 degrees
Space group I4/mmm (No. 139)
Unique sites:
Al1 0.0000 0.0000 0.0000 [2 per cell]
V1 0.0000 0.0000 0.3324 [4 per cell]
H1 0.0000 0.5000 0.2500 [4 per cell]

No. 11
# Al2VH6

An optimized crystal structure of Al2VH6 (PBE-GGA, Alexandria via LeMat-Bulk).

Calculated values
For the magnetic moment, the calculation gives 0.00 μB per cell. The value obtained for the uncorrected energy is -144.6 eV per cell. As for the volume: 253.9 Å³/cell.

Cell lengths 6.3319, 6.3319, 6.3319 Å; angles 90.00, 90.00, 90.00 degrees
Space group Fm-3m (No. 225)
Unique sites:
Al1 0.2500 0.2500 0.2500 [8 per cell]
V1 0.0000 0.0000 0.0000 [4 per cell]
H1 0.0000 0.0000 0.2664 [24 per cell]

No. 12
# Al2V6H

An optimized crystal structure of Al2V6H (PBE-GGA, Alexandria via LeMat-Bulk).

Calculated values
For the magnetic moment, the calculation gives 0.00 μB per cell. The energy above the lowest structure with this stoichiometry comes out at 15.7 kJ/mol of atoms. As for the volume: 228.3 Å³/cell.

Cell lengths 5.1079, 10.3714, 4.3101 Å; angles 90.00, 90.00, 90.00 degrees
Space group Cmmm (No. 65)
Unique sites:
Al1 0.0000 0.2499 0.0000 [4 per cell]
V1 0.2464 0.1314 0.5000 [8 per cell]
V2 0.2471 0.0000 0.0000 [4 per cell]
H1 0.0000 0.5000 0.5000 [2 per cell]